Entry 1:
An optimized crystal structure of SmMg4Hg5, computed with PBE-GGA.

Output
Density of states at the Fermi level = 4.4 states/eV/cell
Magnetization = 0.03 μB/atom
E_form = -289 meV per atom

Cell: 3.6066 3.6066 17.3214 Å, 90.00 90.00 90.00°
Closest atoms and distances in Å follow each position.
Fractional coordinates of all 10 atoms:
Sm 0.0000 0.0000 0.0000  8 Hg 3.25, 4 Sm 3.61
Mg 0.0000 0.0000 0.2126  8 Hg 3.04-3.05, 1 Mg 3.32
Mg 0.0000 0.0000 0.4042  8 Hg 3.04, 2 Mg 3.32
Mg 0.0000 0.0000 0.5958  8 Hg 3.04, 2 Mg 3.32
Mg 0.0000 0.0000 0.7874  8 Hg 3.04-3.05, 1 Mg 3.32
Hg 0.5000 0.5000 0.1164  4 Mg 3.05, 4 Sm 3.25, 1 Hg 3.32
Hg 0.5000 0.5000 0.3083  8 Mg 3.04, 2 Hg 3.32
Hg 0.5000 0.5000 0.5000  8 Mg 3.04, 2 Hg 3.32
Hg 0.5000 0.5000 0.6917  8 Mg 3.04, 2 Hg 3.32
Hg 0.5000 0.5000 0.8836  4 Mg 3.05, 4 Sm 3.25, 1 Hg 3.32

***

Entry 2:
An optimized crystal structure of Sm2Mg3Hg2, computed with PBE-GGA.

Output
Density of states at the Fermi level = 5.0 states/eV/cell
Magnetization = 0.00 μB/atom
E_form = -259 meV per atom

Cell: 5.9030 5.9030 7.3371 Å, 97.40 97.40 46.16°
Closest atoms and distances in Å follow each position.
Fractional coordinates of all 7 atoms:
Sm 0.1162 0.1162 0.3519  5 Hg 3.08-3.30
Sm 0.8838 0.8838 0.6481  5 Hg 3.08-3.30
Mg 0.1926 0.1926 0.8732  2 Hg 2.88, 2 Mg 3.12
Mg 0.5000 0.5000 0.0000  2 Hg 2.84
Mg 0.8074 0.8074 0.1268  2 Hg 2.88, 2 Mg 3.12
Hg 0.3979 0.3979 0.3365  3 Mg 2.84-2.88, 1 Hg 3.03, 1 Sm 3.08
Hg 0.6021 0.6021 0.6635  3 Mg 2.84-2.88, 1 Hg 3.03, 1 Sm 3.08